Tl5Co | GGA-PBE | relaxed

total magnetization	1.985	μB per cell
ΔE_f	0.64	eV per atom
energy	-15.1	eV for the cell shown
symmetry	F-43m, No. 216
energy relative to the lowest polymorph listed for this composition	379	meV/atom

Lattice parameters (Å, degrees): 6.3330 6.3330 6.3330 60.00 60.00 60.00
Sites, in units of the cell vectors:
Tl: 0.0000 0.0000 0.0000
Tl: 0.1267 0.6244 0.6244
Tl: 0.6244 0.1267 0.6244
Tl: 0.6244 0.6244 0.1267
Tl: 0.6244 0.6244 0.6244
Co: 0.2500 0.2500 0.2500